(1)
# CsCd2BiPb, optimized geometry, DFT PBE
data_CsCd2BiPb
_chemical_formula_sum 'Cs2 Cd4 Bi2 Pb2'
_symmetry_space_group_name_H-M 'I m m 2'
_symmetry_Int_Tables_number 44
_cell_length_a 5.231
_cell_length_b 5.523
_cell_length_c 12.568
_cell_angle_alpha 90.00
_cell_angle_beta 90.00
_cell_angle_gamma 90.00
loop_
_symmetry_equiv_pos_as_xyz
'x,y,z'
'-x,-y,z'
'-x,y,z'
'x,-y,z'
'x+1/2,y+1/2,z+1/2'
'-x+1/2,-y+1/2,z+1/2'
'-x+1/2,y+1/2,z+1/2'
'x+1/2,-y+1/2,z+1/2'
loop_
_atom_site_label
_atom_site_type_symbol
_atom_site_fract_x
_atom_site_fract_y
_atom_site_fract_z
Cs1 Cs 0.000 0.000 0.000
Cd1 Cd 0.000 0.000 0.632
Cd2 Cd 0.000 0.500 0.245
Bi1 Bi 0.000 0.000 0.387
Pb1 Pb 0.000 0.500 0.745
# Total magnetization   0.0 μB per cell
# Energy of formation   -141 meV per atom
# Crystal system   orthorhombic


(2)
# K2InW, optimized geometry, DFT PBE
data_K2InW
_chemical_formula_sum 'K4 In2 W2'
_symmetry_space_group_name_H-M 'I -4 m 2'
_symmetry_Int_Tables_number 119
_symmetry_space_group_name_Hall 'I -4 -2'
_cell_length_a 5.491
_cell_length_b 5.491
_cell_length_c 7.740
_cell_angle_alpha 90.00
_cell_angle_beta 90.00
_cell_angle_gamma 90.00
loop_
_atom_site_label
_atom_site_type_symbol
_atom_site_fract_x
_atom_site_fract_y
_atom_site_fract_z
K1 K 0.000 0.000 0.000
K2 K 0.000 0.500 0.250
In1 In 0.000 0.500 0.750
W1 W 0.000 0.000 0.500
# Total magnetization   6.2 μB per cell
# Energy of formation   1279 meV per atom
# Crystal system   tetragonal


(3)
# Ti8V2Co, optimized geometry, DFT PBE
data_Ti8V2Co
_chemical_formula_sum 'Ti16 V4 Co2'
_symmetry_space_group_name_H-M 'C 1 2/m 1'
_symmetry_Int_Tables_number 12
_cell_length_a 14.223
_cell_length_b 4.316
_cell_length_c 5.744
_cell_angle_alpha 90.00
_cell_angle_beta 100.34
_cell_angle_gamma 90.00
loop_
_symmetry_equiv_pos_as_xyz
'x,y,z'
'-x,-y,-z'
'-x,y,-z'
'x,-y,z'
'x+1/2,y+1/2,z'
'-x+1/2,-y+1/2,-z'
'-x+1/2,y+1/2,-z'
'x+1/2,-y+1/2,z'
loop_
_atom_site_label
_atom_site_type_symbol
_atom_site_fract_x
_atom_site_fract_y
_atom_site_fract_z
Ti1 Ti 0.031 0.000 0.251
Ti2 Ti 0.101 0.500 0.958
Ti3 Ti 0.163 0.500 0.438
Ti4 Ti 0.169 0.000 0.729
V1 V 0.211 0.000 0.179
Co1 Co 0.000 0.500 0.500
# Total magnetization   0.0 μB per cell
# Energy of formation   3 meV per atom
# Crystal system   monoclinic


(4)
# Ac3HgPtRh, optimized geometry, DFT PBE
data_Ac3HgPtRh
_chemical_formula_sum 'Ac6 Hg2 Pt2 Rh2'
_symmetry_space_group_name_H-M 'P 1 21/m 1'
_symmetry_Int_Tables_number 11
_cell_length_a 9.640
_cell_length_b 4.368
_cell_length_c 9.732
_cell_angle_alpha 90.00
_cell_angle_beta 108.91
_cell_angle_gamma 90.00
loop_
_symmetry_equiv_pos_as_xyz
'x,y,z'
'-x,-y,-z'
'-x,y+1/2,-z'
'x,-y+1/2,z'
loop_
_atom_site_label
_atom_site_type_symbol
_atom_site_fract_x
_atom_site_fract_y
_atom_site_fract_z
Ac1 Ac 0.002 0.250 0.271
Ac2 Ac 0.304 0.750 0.120
Ac3 Ac 0.357 0.750 0.563
Hg1 Hg 0.309 0.250 0.825
Pt1 Pt 0.075 0.250 0.961
Rh1 Rh 0.322 0.250 0.341
# Total magnetization   0.0 μB per cell
# Energy of formation   -734 meV per atom
# Crystal system   monoclinic